# 1
A relaxed structure of Tl2SnHg. Source: Alexandria via LeMat-Bulk, functional GGA-PBEsol.

Geometry as POSCAR:
```
Tl2SnHg
1.0
-3.2895 2.4010 -3.4219
-2.0765 -2.7387 -4.0599
-5.1774 -1.2202 -0.0135
Sn Hg Tl
1 1 2
Direct
0.0000 0.0000 0.0000
0.5000 0.5000 0.5000
0.2500 0.2500 0.2500
0.7500 0.7500 0.7500
```

## Properties
Crystal system = cubic
Space-group type = Fm-3m, No. 225
Energy of formation from the pure elements = 23 meV/atom

***

# 2
A relaxed structure of FeTeN2O. Source: Alexandria via LeMat-Bulk, functional GGA-PBEsol.

Geometry as POSCAR:
```
FeTeN2O
1.0
-1.5133 -0.3803 -3.0446
-2.3805 -1.9962 1.4326
-3.0658 4.3590 0.9794
Te N O Fe
1 2 1 1
Direct
0.0000 0.0000 0.5000
0.0000 0.5000 0.0000
0.5000 0.0000 0.0000
0.5000 0.5000 0.5000
0.0000 0.0000 0.0000
```

## Properties
Energy relative to the elements, uncorrected = 458 meV/atom
Crystal system = tetragonal
Space-group type = P4/mmm, No. 123

***

# 3
A relaxed structure of CdMoCl3. Source: Alexandria via LeMat-Bulk, functional GGA-PBEsol.

Geometry as POSCAR:
```
CdMoCl3
1.0
-0.1001 -3.0747 4.0157
3.7480 -2.7419 -2.0060
3.3959 2.9355 2.3323
Cl Cd Mo
3 1 1
Direct
0.5000 0.0000 0.0000
0.0000 0.0000 0.5000
0.0000 0.5000 0.0000
0.0000 0.0000 0.0000
0.5000 0.5000 0.5000
```

## Properties
Energy relative to the elements, uncorrected = 271 meV/atom
Crystal system = cubic
Space-group type = Pm-3m, No. 221